(1)
The following is a DFT calculation (PBE) of a relaxed PrPdO3 crystal.

Unit cell a=5.9124 b=5.9124 c=5.9124 alpha=58.26 beta=58.26 gamma=58.26
Last column: nearest neighbours and their distance in Å.
Fractional coordinates of all 10 atoms:
Pr (0.1287, 0.1287, 0.1287)  6 O 2.30-2.52
Pr (0.8713, 0.8713, 0.8713)  6 O 2.30-2.52
Pd (0.3438, 0.3438, 0.3438)  6 O 2.12-2.16
Pd (0.6562, 0.6562, 0.6562)  6 O 2.12-2.16
O (0.0516, 0.4677, 0.7129)  2 Pd 2.12-2.16, 1 Pr 2.30
O (0.2871, 0.9484, 0.5323)  2 Pd 2.12-2.16, 1 Pr 2.30
O (0.4677, 0.7129, 0.0516)  2 Pd 2.12-2.16, 1 Pr 2.30
O (0.5323, 0.2871, 0.9484)  2 Pd 2.12-2.16, 1 Pr 2.30
O (0.7129, 0.0516, 0.4677)  2 Pd 2.12-2.16, 1 Pr 2.30
O (0.9484, 0.5323, 0.2871)  2 Pd 2.12-2.16, 1 Pr 2.30


(2)
The following is a DFT calculation (PBE) of a relaxed Pr2PdO4 crystal.

Unit cell a=5.7062 b=5.7309 c=12.5054 alpha=90.00 beta=90.00 gamma=90.00
Last column: nearest neighbours and their distance in Å.
Fractional coordinates of all 28 atoms:
Pr (0.0088, 0.0365, 0.1542)  6 O 2.32-2.55
Pr (0.0088, 0.4635, 0.6542)  6 O 2.32-2.55
Pr (0.4912, 0.5365, 0.1542)  6 O 2.32-2.55
Pr (0.4912, 0.9635, 0.6542)  6 O 2.32-2.55
Pr (0.5088, 0.0365, 0.3458)  6 O 2.32-2.55
Pr (0.5088, 0.4635, 0.8458)  6 O 2.32-2.55
Pr (0.9912, 0.5365, 0.3458)  6 O 2.32-2.55
Pr (0.9912, 0.9635, 0.8458)  6 O 2.32-2.55
Pd (0.0000, 0.0000, 0.5000)  4 O 2.07
Pd (0.0000, 0.5000, 0.0000)  4 O 2.07
Pd (0.5000, 0.0000, 0.0000)  4 O 2.07
Pd (0.5000, 0.5000, 0.5000)  4 O 2.07
O (0.1972, 0.6980, 0.5113)  2 Pd 2.07
O (0.1972, 0.8020, 0.0113)  2 Pd 2.07
O (0.2420, 0.2134, 0.7554)  4 Pr 2.32-2.38
O (0.2420, 0.2866, 0.2554)  4 Pr 2.32-2.38
O (0.2580, 0.7134, 0.7554)  4 Pr 2.32-2.38
O (0.2580, 0.7866, 0.2554)  4 Pr 2.32-2.38
O (0.3028, 0.1980, 0.5113)  2 Pd 2.07
O (0.3028, 0.3020, 0.0113)  2 Pd 2.07
O (0.6972, 0.6980, 0.9887)  2 Pd 2.07
O (0.6972, 0.8020, 0.4887)  2 Pd 2.07
O (0.7420, 0.2134, 0.7446)  4 Pr 2.32-2.38
O (0.7420, 0.2866, 0.2446)  4 Pr 2.32-2.38
O (0.7580, 0.7134, 0.7446)  4 Pr 2.32-2.38
O (0.7580, 0.7866, 0.2446)  4 Pr 2.32-2.38
O (0.8028, 0.1980, 0.9887)  2 Pd 2.07
O (0.8028, 0.3020, 0.4887)  2 Pd 2.07

Values from the calculation:
Polymorph energy (0 for the lowest one): 0.000 kcal/mol of atoms


(3)
The following is a DFT calculation (PBE) of a relaxed Pr2PdO4 crystal.

Unit cell a=6.9989 b=6.9989 c=6.9989 alpha=60.00 beta=60.00 gamma=60.00
Last column: nearest neighbours and their distance in Å.
Fractional coordinates of all 14 atoms:
Pr (0.0000, 0.0000, 0.0000)  6 O 2.40
Pr (0.0000, 0.0000, 0.5000)  6 O 2.40
Pr (0.0000, 0.5000, 0.0000)  6 O 2.40
Pr (0.5000, 0.0000, 0.0000)  6 O 2.40
Pd (0.3750, 0.3750, 0.3750)  4 O 2.28
Pd (0.6250, 0.6250, 0.6250)  4 O 2.28
O (0.2262, 0.7579, 0.7579)  1 Pd 2.28, 3 Pr 2.40
O (0.2421, 0.2421, 0.2421)  1 Pd 2.28, 3 Pr 2.40
O (0.2421, 0.2421, 0.7738)  1 Pd 2.28, 3 Pr 2.40
O (0.2421, 0.7738, 0.2421)  1 Pd 2.28, 3 Pr 2.40
O (0.7579, 0.2262, 0.7579)  1 Pd 2.28, 3 Pr 2.40
O (0.7579, 0.7579, 0.2262)  1 Pd 2.28, 3 Pr 2.40
O (0.7579, 0.7579, 0.7579)  1 Pd 2.28, 3 Pr 2.40
O (0.7738, 0.2421, 0.2421)  1 Pd 2.28, 3 Pr 2.40

Values from the calculation:
Polymorph energy (0 for the lowest one): 11.022 kcal/mol of atoms


(4)
The following is a DFT calculation (PBE) of a relaxed PrPdO3 crystal.

Unit cell a=6.0159 b=8.1834 c=5.7850 alpha=90.00 beta=90.00 gamma=90.00
Last column: nearest neighbours and their distance in Å.
Fractional coordinates of all 20 atoms:
Pr (0.0000, 0.0000, 0.0000)  6 O 2.35-2.45
Pr (0.0000, 0.5000, 0.0000)  6 O 2.35-2.45
Pr (0.5000, 0.0000, 0.5000)  6 O 2.35-2.45
Pr (0.5000, 0.5000, 0.5000)  6 O 2.35-2.45
Pd (0.0454, 0.2500, 0.4922)  3 O 1.96-2.01
Pd (0.4546, 0.7500, 0.9922)  3 O 1.96-2.01
Pd (0.5454, 0.2500, 0.0078)  3 O 1.96-2.01
Pd (0.9546, 0.7500, 0.5078)  3 O 1.96-2.01
O (0.1563, 0.5889, 0.6465)  1 Pd 1.96
O (0.1563, 0.9111, 0.6465)  1 Pd 1.96
O (0.1623, 0.7500, 0.1620)  1 Pd 2.01
O (0.3377, 0.2500, 0.6620)  1 Pd 2.01
O (0.3437, 0.0889, 0.1465)  1 Pd 1.96
O (0.3437, 0.4111, 0.1465)  1 Pd 1.96
O (0.6563, 0.5889, 0.8535)  1 Pd 1.96
O (0.6563, 0.9111, 0.8535)  1 Pd 1.96
O (0.6623, 0.7500, 0.3380)  1 Pd 2.01
O (0.8377, 0.2500, 0.8380)  1 Pd 2.01
O (0.8437, 0.0889, 0.3535)  1 Pd 1.96
O (0.8437, 0.4111, 0.3535)  1 Pd 1.96


V in Å³/f.u., matching the order above: 70, 102, 121, 71
Calculated total energy in eV per atom, matching the order above: -6.59, -7.44, -6.96, -6.49